Material: CsBa2GaPd
Method: DFT, PBE-GGA
State: relaxed

Geometry as CIF:
```
data_CsBa2GaPd
_symmetry_space_group_name_H-M 'P 4/m m m'
_symmetry_Int_Tables_number 123
_symmetry_space_group_name_Hall '-P 4 2'
_cell_length_a 6.343
_cell_length_b 6.343
_cell_length_c 5.125
_cell_angle_alpha 90.00
_cell_angle_beta 90.00
_cell_angle_gamma 90.00
loop_
_atom_site_label
_atom_site_fract_x
_atom_site_fract_y
_atom_site_fract_z
Cs1 0.000 0.000 0.000
Ba1 0.000 0.500 0.500
Ga1 0.500 0.500 0.000
Pd1 0.500 0.500 0.500
```

Electronic total energy, eV per atom: -2.754
Total magnetic moment, μB per formula unit: 0.0
Excess energy over the best structure of this formula in the dataset, eV per atom: 0.0000
Crystal system: tetragonal


Material: CsBa2GaPd
Method: DFT, PBE-GGA
State: relaxed

Geometry as CIF:
```
data_CsBa2GaPd
_symmetry_space_group_name_H-M 'P 4/m m m'
_symmetry_Int_Tables_number 123
_symmetry_space_group_name_Hall '-P 4 2'
_cell_length_a 6.485
_cell_length_b 6.485
_cell_length_c 5.502
_cell_angle_alpha 90.00
_cell_angle_beta 90.00
_cell_angle_gamma 90.00
loop_
_atom_site_label
_atom_site_fract_x
_atom_site_fract_y
_atom_site_fract_z
Cs1 0.000 0.000 0.000
Ba1 0.000 0.500 0.000
Ga1 0.000 0.000 0.500
Pd1 0.500 0.500 0.500
```

Electronic total energy, eV per atom: -1.611
Total magnetic moment, μB per formula unit: 0.0
Excess energy over the best structure of this formula in the dataset, eV per atom: 1.1424
Crystal system: tetragonal


Material: CsBa2GaRh
Method: DFT, PBE-GGA
State: relaxed

Geometry as CIF:
```
data_CsBa2GaRh
_symmetry_space_group_name_H-M 'P 4/m m m'
_symmetry_Int_Tables_number 123
_symmetry_space_group_name_Hall '-P 4 2'
_cell_length_a 6.187
_cell_length_b 6.187
_cell_length_c 5.091
_cell_angle_alpha 90.00
_cell_angle_beta 90.00
_cell_angle_gamma 90.00
loop_
_atom_site_label
_atom_site_fract_x
_atom_site_fract_y
_atom_site_fract_z
Cs1 0.000 0.000 0.000
Ba1 0.000 0.500 0.500
Ga1 0.500 0.500 0.000
Rh1 0.500 0.500 0.500
```

Electronic total energy, eV per atom: -3.126
Total magnetic moment, μB per formula unit: 0.0
Crystal system: tetragonal


Material: CsBaGaS3
Method: DFT, PBE-GGA
State: relaxed

Geometry as CIF:
```
data_CsBaGaS3
_symmetry_space_group_name_H-M 'C 1 2/m 1'
_symmetry_Int_Tables_number 12
_cell_length_a 16.417
_cell_length_b 5.173
_cell_length_c 9.455
_cell_angle_alpha 90.00
_cell_angle_beta 105.44
_cell_angle_gamma 90.00
loop_
_symmetry_equiv_pos_as_xyz
'x,y,z'
'-x,-y,-z'
'-x,y,-z'
'x,-y,z'
'x+1/2,y+1/2,z'
'-x+1/2,-y+1/2,-z'
'-x+1/2,y+1/2,-z'
'x+1/2,-y+1/2,z'
loop_
_atom_site_label
_atom_site_fract_x
_atom_site_fract_y
_atom_site_fract_z
Cs1 0.144 0.000 0.065
Ba1 0.146 0.000 0.573
Ga1 0.006 0.500 0.282
S1 0.004 0.000 0.284
S2 0.136 0.500 0.784
S3 0.149 0.500 0.350
```

Uncorrected formation energy, eV/atom: -1.159
Electronic total energy, eV per atom: -4.190
Total magnetic moment, μB per formula unit: 0.0
Crystal system: monoclinic


Material: CsBa2Ga2S6
Method: DFT, PBE-GGA
State: relaxed

Geometry as CIF:
```
data_CsBa2Ga2S6
_symmetry_space_group_name_H-M 'P -1'
_symmetry_Int_Tables_number 2
_cell_length_a 7.661
_cell_length_b 8.055
_cell_length_c 8.262
_cell_angle_alpha 64.40
_cell_angle_beta 67.85
_cell_angle_gamma 66.75
loop_
_symmetry_equiv_pos_as_xyz
'x,y,z'
'-x,-y,-z'
loop_
_atom_site_label
_atom_site_fract_x
_atom_site_fract_y
_atom_site_fract_z
Cs1 0.000 0.000 0.000
Ba1 0.278 0.276 0.350
Ga1 0.299 0.549 0.736
S1 0.125 0.415 0.700
S2 0.284 0.854 0.609
S3 0.489 0.630 0.085
```

Uncorrected formation energy, eV/atom: -1.127
Electronic total energy, eV per atom: -4.356
Total magnetic moment, μB per formula unit: 1.0
Crystal system: triclinic


Material: CsBaGa4Si6
Method: DFT, PBE-GGA
State: relaxed

Geometry as CIF:
```
data_CsBaGa4Si6
_symmetry_space_group_name_H-M 'P 6/m m m'
_symmetry_Int_Tables_number 191
_symmetry_space_group_name_Hall '-P 6 2'
_cell_length_a 5.3518
_cell_length_b 5.3518
_cell_length_c 11.3203
_cell_angle_alpha 90.00
_cell_angle_beta 90.00
_cell_angle_gamma 120.00
loop_
_atom_site_label
_atom_site_fract_x
_atom_site_fract_y
_atom_site_fract_z
Cs1 0.0000 0.0000 0.0000
Ba1 0.0000 0.0000 0.5000
Ga1 0.3333 0.6667 0.1204
Si1 0.0000 0.5000 0.3066
```

Uncorrected formation energy, eV/atom: 0.124
Electronic total energy, eV per atom: -3.828
Total magnetic moment, μB per formula unit: 0.0
Crystal system: hexagonal


Material: CsBaGa2Te
Method: DFT, PBE-GGA
State: relaxed

Geometry as CIF:
```
data_CsBaGa2Te
_symmetry_space_group_name_H-M 'P 4/m m m'
_symmetry_Int_Tables_number 123
_symmetry_space_group_name_Hall '-P 4 2'
_cell_length_a 6.347
_cell_length_b 6.347
_cell_length_c 6.593
_cell_angle_alpha 90.00
_cell_angle_beta 90.00
_cell_angle_gamma 90.00
loop_
_atom_site_label
_atom_site_fract_x
_atom_site_fract_y
_atom_site_fract_z
Cs1 0.000 0.000 0.000
Ba1 0.500 0.500 0.500
Ga1 0.000 0.500 0.500
Te1 0.500 0.500 0.000
```

Uncorrected formation energy, eV/atom: 0.016
Electronic total energy, eV per atom: -2.378
Total magnetic moment, μB per formula unit: 0.0
Excess energy over the best structure of this formula in the dataset, eV per atom: 0.0000
Crystal system: tetragonal


Material: CsBaGaTe3
Method: DFT, PBE-GGA
State: relaxed

Geometry as CIF:
```
data_CsBaGaTe3
_symmetry_space_group_name_H-M 'C 1 2/m 1'
_symmetry_Int_Tables_number 12
_cell_length_a 18.536
_cell_length_b 5.701
_cell_length_c 10.245
_cell_angle_alpha 90.00
_cell_angle_beta 103.54
_cell_angle_gamma 90.00
loop_
_symmetry_equiv_pos_as_xyz
'x,y,z'
'-x,-y,-z'
'-x,y,-z'
'x,-y,z'
'x+1/2,y+1/2,z'
'-x+1/2,-y+1/2,-z'
'-x+1/2,y+1/2,-z'
'x+1/2,-y+1/2,z'
loop_
_atom_site_label
_atom_site_fract_x
_atom_site_fract_y
_atom_site_fract_z
Cs1 0.153 0.000 0.065
Ba1 0.141 0.000 0.555
Ga1 0.016 0.500 0.272
Te1 0.004 0.000 0.741
Te2 0.133 0.500 0.767
Te3 0.164 0.500 0.342
```

Uncorrected formation energy, eV/atom: -0.858
Electronic total energy, eV per atom: -3.396
Total magnetic moment, μB per formula unit: 0.0
Crystal system: monoclinic


What did the first record say?
Material: CsBa2GaPd
Method: DFT, PBE-GGA
State: relaxed

Geometry as CIF:
```
data_CsBa2GaPd
_symmetry_space_group_name_H-M 'P 4/m m m'
_symmetry_Int_Tables_number 123
_symmetry_space_group_name_Hall '-P 4 2'
_cell_length_a 6.343
_cell_length_b 6.343
_cell_length_c 5.125
_cell_angle_alpha 90.00
_cell_angle_beta 90.00
_cell_angle_gamma 90.00
loop_
_atom_site_label
_atom_site_fract_x
_atom_site_fract_y
_atom_site_fract_z
Cs1 0.000 0.000 0.000
Ba1 0.000 0.500 0.500
Ga1 0.500 0.500 0.000
Pd1 0.500 0.500 0.500
```

Electronic total energy, eV per atom: -2.754
Total magnetic moment, μB per formula unit: 0.0
Excess energy over the best structure of this formula in the dataset, eV per atom: 0.0000
Crystal system: tetragonal


Question: electronic total energy of number 6 (CsBaGa4Si6)?
Answer: -3.828 eV per atom


Repeat the third record exactly.
Material: CsBa2GaRh
Method: DFT, PBE-GGA
State: relaxed

Geometry as CIF:
```
data_CsBa2GaRh
_symmetry_space_group_name_H-M 'P 4/m m m'
_symmetry_Int_Tables_number 123
_symmetry_space_group_name_Hall '-P 4 2'
_cell_length_a 6.187
_cell_length_b 6.187
_cell_length_c 5.091
_cell_angle_alpha 90.00
_cell_angle_beta 90.00
_cell_angle_gamma 90.00
loop_
_atom_site_label
_atom_site_fract_x
_atom_site_fract_y
_atom_site_fract_z
Cs1 0.000 0.000 0.000
Ba1 0.000 0.500 0.500
Ga1 0.500 0.500 0.000
Rh1 0.500 0.500 0.500
```

Electronic total energy, eV per atom: -3.126
Total magnetic moment, μB per formula unit: 0.0
Crystal system: tetragonal